Crystalline Zn2CuAs at its relaxed geometry, computed with PBE.

It has space group Cm (No. 8), with a = 8.317 Å, b = 2.929 Å, c = 5.309 Å, α = 90.00°, β = 102.67° and γ = 90.00°. The inequivalent atoms are Zn at (0.000, 0.000, 0.000), Zn at (0.246, 0.000, 0.766), Cu at (0.002, 0.500, 0.567) and As at (0.262, 0.500, 0.302).

The total magnetization is 0.0 μB/cell. For the mass density, the calculation gives 7.09 Mg/m³. As for the crystal system: monoclinic. Its total DFT energy (no corrections) is -2.750 eV/atom.


Crystalline Na2HfAlSe5 at its relaxed geometry, computed with PBE.

It has space group Cmc2_1 (No. 36), with a = 3.681 Å, b = 18.431 Å, c = 13.901 Å, α = 90.00°, β = 90.00° and γ = 90.00°. The inequivalent atoms are Na at (0.000, 0.101, 0.000), Na at (0.000, 0.124, 0.663), Hf at (0.000, 0.217, 0.380), Al at (0.000, 0.428, 0.766), Se at (0.000, 0.060, 0.378), Se at (0.000, 0.285, 0.013), Se at (0.000, 0.299, 0.735), Se at (0.000, 0.355, 0.341) and Se at (0.000, 0.493, 0.620).

The total magnetization is 0.4 μB/cell. For the mass density, the calculation gives 4.55 Mg/m³. As for the crystal system: orthorhombic. The value obtained for the uncorrected formation energy is -1.032 eV per atom.


Crystalline ZrFeNiP2 at its relaxed geometry, computed with PBE.

It has space group I-4m2 (No. 119), with a = 3.696 Å, b = 3.696 Å, c = 9.560 Å, α = 90.00°, β = 90.00° and γ = 90.00°. The inequivalent atoms are Zr at (0.000, 0.000, 0.000), Fe at (0.000, 0.500, 0.250), Ni at (0.000, 0.500, 0.750) and P at (0.000, 0.000, 0.380).

The total magnetization is 1.9 μB/cell. For the mass density, the calculation gives 6.81 Mg/m³. As for the crystal system: tetragonal. Its total DFT energy (no corrections) is -7.567 eV/atom.


Crystalline BaSc2FeB at its relaxed geometry, computed with PBE.

It has space group P4/mmm (No. 123), with a = 4.892 Å, b = 4.892 Å, c = 4.269 Å, α = 90.00°, β = 90.00° and γ = 90.00°. The inequivalent atoms are Ba at (0.000, 0.000, 0.000), Sc at (0.000, 0.500, 0.500), Fe at (0.500, 0.500, 0.500) and B at (0.500, 0.500, 0.000).

The total magnetization is 0.0 μB/cell. For the mass density, the calculation gives 4.78 Mg/m³. As for the crystal system: tetragonal. Its total DFT energy (no corrections) is -5.573 eV/atom.


Crystalline MgAs at its relaxed geometry, computed with PBE.

It has space group P4_2/mnm (No. 136), with a = 6.601 Å, b = 6.601 Å, c = 4.801 Å, α = 90.00°, β = 90.00° and γ = 90.00°. The inequivalent atoms are Mg at (0.247, 0.247, 0.000) and As at (0.138, 0.138, 0.500).

The total magnetization is 0.0 μB/cell. For the mass density, the calculation gives 3.15 Mg/m³. Its relative energy among the computed polymorphs is 0.12 eV per formula unit. As for the crystal system: tetragonal.


Crystalline Li2MoAs at its relaxed geometry, computed with PBE.

It has space group R3m (No. 160, hexagonal axes), with a = 3.0680 Å, b = 3.0680 Å, c = 26.5455 Å, α = 90.00°, β = 90.00° and γ = 120.00°. The inequivalent atoms are Li at (0.0000, 0.0000, 0.0000), Li at (0.0000, 0.0000, 0.2325), Mo at (0.0000, 0.0000, 0.7540) and As at (0.0000, 0.0000, 0.4874).

The total magnetization is 0.0 μB/cell. For the mass density, the calculation gives 4.25 Mg/m³. As for the crystal system: trigonal. Its total DFT energy (no corrections) is -4.780 eV/atom.


Crystalline KHoAuO2 at its relaxed geometry, computed with PBE.

It has space group P2/c (No. 13), with a = 6.650 Å, b = 5.440 Å, c = 6.440 Å, α = 90.00°, β = 95.58° and γ = 90.00°. The inequivalent atoms are K at (0.000, 0.204, 0.250), Ho at (0.500, 0.019, 0.750), Au at (0.500, 0.500, 0.000) and O at (0.294, 0.109, 0.988).

The total magnetization is 0.0 μB/cell. For the mass density, the calculation gives 6.20 Mg/m³. As for the crystal system: monoclinic. The value obtained for the uncorrected formation energy is -1.709 eV per atom.


Crystalline TbSm2YTm6 at its relaxed geometry, computed with PBE.

It has space group C2/c (No. 15), with a = 8.937 Å, b = 14.954 Å, c = 9.566 Å, α = 90.00°, β = 98.67° and γ = 90.00°. The inequivalent atoms are Tb at (0.000, 0.093, 0.250), Sm at (0.247, 0.447, 0.043), Y at (0.000, 0.480, 0.750), Tm at (0.064, 0.310, 0.443), Tm at (0.104, 0.106, 0.619) and Tm at (0.200, 0.275, 0.814).

The total magnetization is 0.0 μB/cell. For the mass density, the calculation gives 8.21 Mg/m³. As for the crystal system: monoclinic. Its total DFT energy (no corrections) is -4.618 eV/atom.


Crystalline GaAgSnF6 at its relaxed geometry, computed with PBE.

It has space group C2 (No. 5), with a = 5.677 Å, b = 10.144 Å, c = 4.958 Å, α = 90.00°, β = 90.78° and γ = 90.00°. The inequivalent atoms are Ga at (0.000, 0.000, 0.000), Ag at (0.000, 0.669, 0.000), Sn at (0.000, 0.337, 0.500), F at (0.127, 0.139, 0.780), F at (0.155, 0.869, 0.780) and F at (0.219, 0.489, 0.768).

The total magnetization is 0.2 μB/cell. For the mass density, the calculation gives 4.77 Mg/m³. As for the crystal system: monoclinic. The value obtained for the uncorrected formation energy is -2.136 eV per atom.


Crystalline TbNd12Tm7 at its relaxed geometry, computed with PBE.

It has space group R-3m (No. 166, hexagonal axes), with a = 19.6285 Å, b = 19.6285 Å, c = 6.2038 Å, α = 90.00°, β = 90.00° and γ = 120.00°. The inequivalent atoms are Tb at (0.0000, 0.0000, 0.0000), Nd at (0.0000, 0.4127, 0.5000), Nd at (0.0983, 0.5491, 0.9647), Tm at (0.0000, 0.0000, 0.5000) and Tm at (0.0811, 0.1622, 0.7931).

The total magnetization is 0.0 μB/cell. For the mass density, the calculation gives 7.39 Mg/m³. Its relative energy among the computed polymorphs is 1.79 eV per formula unit. As for the crystal system: trigonal.


Crystalline TbPm3Dy at its relaxed geometry, computed with PBE.

It has space group P2_1/m (No. 11), with a = 6.338 Å, b = 5.795 Å, c = 9.688 Å, α = 90.00°, β = 109.08° and γ = 90.00°. The inequivalent atoms are Tb at (0.236, 0.250, 0.301), Pm at (0.033, 0.250, 0.898), Pm at (0.167, 0.750, 0.500), Pm at (0.366, 0.750, 0.899) and Dy at (0.435, 0.250, 0.699).

The total magnetization is 0.0 μB/cell. For the mass density, the calculation gives 7.47 Mg/m³. Its relative energy among the computed polymorphs is 0.03 eV per formula unit. As for the crystal system: monoclinic.


Crystalline SmYSb2O8 at its relaxed geometry, computed with PBE.

It has space group I-4 (No. 82), with a = 5.305 Å, b = 5.305 Å, c = 11.340 Å, α = 90.00°, β = 90.00° and γ = 90.00°. The inequivalent atoms are Sm at (0.000, 0.000, 0.000), Y at (0.000, 0.500, 0.750), Sb at (0.000, 0.000, 0.500), Sb at (0.000, 0.500, 0.250), O at (0.176, 0.253, 0.590) and O at (0.182, 0.752, 0.163).

The total magnetization is 0.0 μB/cell. For the mass density, the calculation gives 6.35 Mg/m³. As for the crystal system: tetragonal. The value obtained for the uncorrected formation energy is -2.320 eV per atom.